CsCaVBr6 after structural relaxation, computed with PBE-GGA.

```
9
Lattice="-2.667 0.789 -6.621 2.235 -4.292 -5.307 -5.905 -5.244 1.754" Properties=species:S:1:pos:R:3 pbc="T T T"
Cs -8.572 -4.455 -4.867
Ca -3.240 -4.958 -7.075
V -3.097 -3.790 -3.099
Br -1.152 -3.122 -1.551
Br -4.920 -3.478 -1.310
Br -4.908 -4.632 -4.721
Br -2.783 -6.209 -2.279
Br -1.413 -3.993 -5.035
Br -3.401 -1.305 -3.696
```

Results
Final energy in eV per atom: -3.90
Space group: P312 (149)


YCo2Br after structural relaxation, computed with PBE-GGA.

```
4
Lattice="-2.287 -1.300 2.037 -0.624 -2.393 -2.226 5.525 -4.525 3.315" Properties=species:S:1:pos:R:3 pbc="T T T"
Br 2.379 -4.987 2.206
Co 0.752 -0.616 0.451
Co -0.303 -2.791 0.597
Y 2.547 -2.086 1.528
```

Results
Energy relative to the lowest polymorph listed for this composition in meV/atom: 197
Space group: P4mm (99)


LiInGa6 after structural relaxation, computed with PBE-GGA.

```
8
Lattice="-1.884 4.065 -0.608 -2.503 -0.465 4.648 5.062 2.795 3.006" Properties=species:S:1:pos:R:3 pbc="T T T"
Li 0.698 3.264 2.853
In -1.661 -0.309 3.084
Ga -1.673 2.406 4.462
Ga 3.236 1.945 2.984
Ga 0.959 0.688 1.632
Ga 0.607 3.665 5.816
Ga 0.863 1.087 4.600
Ga -1.624 1.906 0.964
```

Results
Space group: Pmm2 (25)
ΔH_f (0 K) in meV/atom: -35


NaRh2CI after structural relaxation, computed with PBE-GGA.

```
5
Lattice="4.776 0.000 0.000 0.000 4.076 0.000 0.000 0.000 4.776" Properties=species:S:1:pos:R:3 pbc="T T T"
I 2.388 2.038 2.388
Na 0.000 0.000 0.000
C 0.000 2.038 0.000
Rh 0.000 0.000 2.388
Rh 2.388 0.000 0.000
```

Results
Final energy in eV per atom: -3.21
Space group: P4/mmm (123)


K4TmNp3O12 after structural relaxation, computed with PBE-GGA.

```
20
Lattice="-5.696 -3.636 -3.044 2.607 -3.869 5.759 -2.278 6.658 2.325" Properties=species:S:1:pos:R:3 pbc="T T T"
K -2.684 -0.423 2.520
K -1.139 3.329 1.163
K -2.848 -1.818 -1.522
K 1.303 -1.935 2.879
Tm 0.000 0.000 0.000
Np -3.987 1.511 -0.359
Np -1.545 -3.752 1.358
Np 0.164 1.395 4.042
O -1.829 2.150 3.862
O -5.873 2.226 -0.529
O -2.101 0.797 -0.189
O -3.538 -2.997 1.178
O -2.275 -5.527 2.000
O -0.814 -1.978 0.715
O -4.759 -0.365 0.319
O -0.608 -0.482 4.721
O -3.905 2.209 1.662
O 0.242 2.054 5.954
O -1.463 -3.055 3.378
O 0.087 0.735 2.130
```

Results
Final energy in eV per atom: -8.10
Space group: Im-3m (229)


Sr2IBr after structural relaxation, computed with PBE-GGA.

```
8
Lattice="-6.720 -2.701 1.420 -0.530 -2.349 -6.977 -0.609 -9.001 -0.827" Properties=species:S:1:pos:R:3 pbc="T T T"
I 0.000 0.000 0.000
I -5.477 -7.114 -1.093
Sr -4.236 -4.159 -0.230
Sr -1.506 -4.129 -4.351
Sr -3.190 -8.709 -2.894
Sr -6.786 -11.106 -5.293
Br -3.625 -2.525 -2.778
Br -2.382 -6.938 -5.291
```

Results
Energy relative to the lowest polymorph listed for this composition in meV/atom: 147
Space group: I-42d (122)


CaOsSe2 after structural relaxation, computed with PBE-GGA.

```
4
Lattice="-1.242 1.046 4.434 -0.079 4.500 1.431 -4.125 2.133 0.856" Properties=species:S:1:pos:R:3 pbc="T T T"
Ca 0.000 0.000 0.000
Os -2.723 3.840 3.361
Se -1.361 1.920 1.680
Se -4.084 5.759 5.041
```

Results
Energy relative to the lowest polymorph listed for this composition in meV/atom: 501
Space group: Fm-3m (225)


Nd4Er5Tm after structural relaxation, computed with PBE-GGA.

```
10
Lattice="-3.613 3.960 -2.487 -4.568 -3.390 -5.781 -7.107 0.368 3.890" Properties=species:S:1:pos:R:3 pbc="T T T"
Nd -7.915 0.937 -0.350
Nd -10.699 1.013 -3.204
Nd -4.227 -0.470 -0.926
Nd -7.012 -0.394 -3.780
Er -11.586 2.115 -0.190
Er -9.503 -2.602 -3.706
Er -5.438 3.161 -0.434
Er -3.355 -1.556 -3.950
Er -2.495 2.735 -1.718
Tm -0.765 0.839 -0.527
```

Results
Energy relative to the lowest polymorph listed for this composition in meV/atom: 45
Space group: I4mm (107)
ΔH_f (0 K) in meV/atom: 238


NaMg2PaBi4 after structural relaxation, computed with PBE-GGA.

```
8
Lattice="6.322 -0.003 0.000 -0.009 6.322 0.000 -3.157 -3.160 6.144" Properties=species:S:1:pos:R:3 pbc="T T T"
Na 3.157 3.160 0.000
Mg -0.004 3.161 3.072
Mg 0.000 0.000 0.000
Pa 3.161 -0.001 3.072
Bi -0.004 3.161 0.034
Bi -0.004 3.161 6.110
Bi 3.157 3.160 3.143
Bi 0.000 0.000 3.001
```

Results
Space group: F222 (22)
ΔH_f (0 K) in meV/atom: -66


As2OsPt after structural relaxation, computed with PBE-GGA.

```
4
Lattice="-5.915 -1.505 -7.806 -7.349 -3.193 -5.829 -7.902 -0.280 -5.972" Properties=species:S:1:pos:R:3 pbc="T T T"
As -0.446 -0.105 -0.413
As -4.805 -1.130 -4.452
Os -10.550 -2.481 -9.773
Pt -15.946 -3.750 -14.772
```

Results
Energy relative to the lowest polymorph listed for this composition in meV/atom: 55
Space group: R3m (160)
ΔH_f (0 K) in meV/atom: 152


NaMg3In after structural relaxation, computed with PBE-GGA.

```
5
Lattice="5.462 0.000 0.000 0.000 5.462 0.000 0.000 0.000 5.462" Properties=species:S:1:pos:R:3 pbc="T T T"
Na 2.731 2.731 2.731
Mg 0.000 2.731 0.000
Mg 0.000 0.000 2.731
Mg 2.731 0.000 0.000
In 0.000 0.000 0.000
```

Results
Energy relative to the lowest polymorph listed for this composition in meV/atom: 244
Space group: Pm-3m (221)
ΔH_f (0 K) in meV/atom: 254


K6Rb2HgH after structural relaxation, computed with PBE-GGA.

```
10
Lattice="-7.288 4.854 3.265 -1.483 -6.546 6.499 -0.399 2.354 9.008" Properties=species:S:1:pos:R:3 pbc="T T T"
K -2.539 0.636 6.793
K -6.427 -1.240 7.156
K -3.037 -3.497 5.635
K -6.133 4.158 13.138
K -2.743 1.901 11.617
K -6.631 0.026 11.980
Rb -6.037 3.180 8.577
Rb -3.133 -2.519 10.196
Hg -7.288 4.854 3.265
H -4.385 -0.846 4.882
```

Results
Final energy in eV per atom: -1.24
Space group: Fmmm (69)


Tl3In2I2Br4 after structural relaxation, computed with PBE-GGA.

```
11
Lattice="-3.687 -3.193 -3.170 3.494 0.551 -4.618 6.088 -8.891 7.210" Properties=species:S:1:pos:R:3 pbc="T T T"
Tl 0.000 0.000 0.000
Tl 2.077 -3.540 1.149
Tl 3.818 -7.993 -1.728
In 5.220 -8.896 2.889
In 0.675 -2.636 -3.467
I 3.685 -6.281 2.039
I 2.210 -5.252 -2.618
Br 6.788 -8.317 0.481
Br 3.198 -10.188 1.205
Br 2.697 -1.344 -1.783
Br -0.893 -3.216 -1.059
```

Results
Final energy in eV per atom: -2.71
Space group: I4/mmm (139)


ZrCoSb2 after structural relaxation, computed with PBE-GGA.

```
4
Lattice="-3.737 0.421 0.251 -0.031 -2.129 3.110 0.755 4.757 3.263" Properties=species:S:1:pos:R:3 pbc="T T T"
Co -1.283 2.930 4.276
Sb 0.717 4.516 3.098
Sb -1.668 0.508 2.615
Zr 0.354 2.231 1.531
```

Results
Final energy in eV per atom: -6.11
Space group: P4mm (99)


Zn2MoBr after structural relaxation, computed with PBE-GGA.

```
4
Lattice="-2.961 -0.300 -1.526 1.004 -2.873 -1.384 -2.368 -3.358 5.255" Properties=species:S:1:pos:R:3 pbc="T T T"
Br -1.571 -2.426 -0.141
Mo -2.754 -4.105 2.487
Zn -2.260 -3.205 5.016
Zn -1.292 -1.832 2.867
```

Results
Energy relative to the lowest polymorph listed for this composition in meV/atom: 194
Space group: P4/mmm (123)


Sm3YIn3 after structural relaxation, computed with PBE-GGA.

```
14
Lattice="5.554 0.000 0.000 0.000 9.217 0.000 0.000 -4.609 7.982" Properties=species:S:1:pos:R:3 pbc="T T T"
Sm 4.165 3.396 4.378
Sm 4.165 3.728 0.752
Sm 4.165 6.702 2.852
Sm 1.388 1.213 3.604
Sm 1.388 0.881 7.230
Sm 1.388 -2.094 5.130
Y 1.388 4.609 2.661
Y 4.165 0.000 5.322
In 1.388 3.991 6.140
In 1.388 1.904 0.387
In 1.388 7.930 1.456
In 4.165 0.617 1.842
In 4.165 2.704 7.596
In 4.165 -3.322 6.527
```

Results
Energy relative to the lowest polymorph listed for this composition in meV/atom: 128
Space group: P6_3/m (176)
ΔH_f (0 K) in meV/atom: -211


GdSnRh after structural relaxation, computed with PBE-GGA.

```
3
Lattice="3.172 0.000 0.000 0.000 3.172 0.000 -1.586 -1.586 7.447" Properties=species:S:1:pos:R:3 pbc="T T T"
Gd 1.586 1.586 4.223
Rh 1.586 1.586 6.631
Sn 0.000 0.000 1.805
```

Results
Space group: I4mm (107)
ΔH_f (0 K) in meV/atom: 254


Rb3ScBi after structural relaxation, computed with PBE-GGA.

```
5
Lattice="7.145 0.000 0.000 0.000 7.145 0.000 0.000 0.000 7.145" Properties=species:S:1:pos:R:3 pbc="T T T"
Sc 3.572 3.572 3.572
Bi 0.000 0.000 0.000
Rb 0.000 3.572 0.000
Rb 0.000 0.000 3.572
Rb 3.572 0.000 0.000
```

Results
Energy relative to the lowest polymorph listed for this composition in meV/atom: 0
Space group: Pm-3m (221)
ΔH_f (0 K) in meV/atom: 519


PuTaSe after structural relaxation, computed with PBE-GGA.

```
6
Lattice="3.367 0.000 0.000 -1.683 2.916 0.000 0.000 0.000 13.152" Properties=species:S:1:pos:R:3 pbc="T T T"
Ta 0.000 0.000 0.000
Ta 0.000 1.944 6.576
Se 0.000 0.000 4.838
Se 0.000 0.000 8.314
Pu 0.000 1.944 10.698
Pu 0.000 1.944 2.454
```

Results
Final energy in eV per atom: -10.23
Space group: P-6m2 (187)


Li3SiN3 after structural relaxation, computed with PBE-GGA.

```
14
Lattice="5.183 0.562 0.148 -1.806 4.890 0.148 -0.355 -0.573 5.498" Properties=species:S:1:pos:R:3 pbc="T T T"
Li 2.059 3.325 2.332
Li -0.566 3.726 2.897
Li 3.588 1.153 2.897
Li 0.286 3.595 0.148
Li 3.091 1.857 0.148
Li 0.963 1.554 3.462
Si 2.522 4.072 5.084
Si 0.500 0.807 0.709
N 2.972 4.799 1.338
N 2.712 2.626 4.181
N 1.142 3.598 4.181
N 0.309 2.253 1.612
N 1.879 1.281 1.612
N 0.049 0.080 4.455
```

Results
Final energy in eV per atom: -5.60
Space group: C2/m (12)